(1)
A crystal of SeCl4 relaxed with PBEsol. Source: Alexandria via LeMat-Bulk, functional SCAN.

The uncorrected formation energy is -0.392 eV per atom. As for the density of states at the Fermi level: 0.00 states/eV per cell.

a = 9.7947 Å, b = 9.7947 Å, c = 15.2909 Å
α = 112.34°, β = 112.34°, γ = 60.66°
Last column: nearest neighbours and their distance in Å.
Fractional coordinates of all 40 atoms:
Se: 0.2340 0.7623 0.6155  3 Cl 2.20-2.21
Se: 0.2377 0.7660 0.8845  3 Cl 2.20-2.21
Se: 0.3404 0.3928 0.1868  3 Cl 2.20-2.22
Se: 0.3928 0.3404 0.6868  3 Cl 2.20-2.22
Se: 0.6072 0.6596 0.3132  3 Cl 2.20-2.22
Se: 0.6596 0.6072 0.8132  3 Cl 2.20-2.22
Se: 0.7623 0.2340 0.1155  3 Cl 2.20-2.21
Se: 0.7660 0.2377 0.3845  3 Cl 2.20-2.21
Cl: 0.0113 0.9846 0.6275  1 Se 2.21
Cl: 0.0154 0.9887 0.8725  1 Se 2.21
Cl: 0.1291 0.6281 0.1944  1 Se 2.22
Cl: 0.1309 0.6271 0.6921  3 Se 2.72-2.76
Cl: 0.1384 0.6398 0.4684  1 Se 2.20
Cl: 0.1426 0.6472 0.9290  1 Se 2.20
Cl: 0.2503 0.2875 0.0324  1 Se 2.21
Cl: 0.2583 0.2840 0.2486  1 Se 2.20
Cl: 0.2840 0.2583 0.7486  1 Se 2.20
Cl: 0.2875 0.2503 0.5324  1 Se 2.21
Cl: 0.3528 0.8574 0.5710  1 Se 2.20
Cl: 0.3602 0.8616 0.0316  1 Se 2.20
Cl: 0.3719 0.8709 0.3056  1 Se 2.22
Cl: 0.3729 0.8691 0.8079  3 Se 2.72-2.76
Cl: 0.4880 0.5098 0.1311  3 Se 2.71-2.73
Cl: 0.4902 0.5120 0.3689  3 Se 2.71-2.73
Cl: 0.5098 0.4880 0.6311  3 Se 2.71-2.73
Cl: 0.5120 0.4902 0.8689  3 Se 2.71-2.73
Cl: 0.6271 0.1309 0.1921  3 Se 2.72-2.76
Cl: 0.6281 0.1291 0.6944  1 Se 2.22
Cl: 0.6398 0.1384 0.9684  1 Se 2.20
Cl: 0.6472 0.1426 0.4290  1 Se 2.20
Cl: 0.7125 0.7497 0.4676  1 Se 2.21
Cl: 0.7160 0.7417 0.2514  1 Se 2.20
Cl: 0.7417 0.7160 0.7514  1 Se 2.20
Cl: 0.7497 0.7125 0.9676  1 Se 2.21
Cl: 0.8574 0.3528 0.0710  1 Se 2.20
Cl: 0.8616 0.3602 0.5316  1 Se 2.20
Cl: 0.8691 0.3729 0.3079  3 Se 2.72-2.76
Cl: 0.8709 0.3719 0.8056  1 Se 2.22
Cl: 0.9846 0.0113 0.1275  1 Se 2.21
Cl: 0.9887 0.0154 0.3725  1 Se 2.21

***

(2)
A crystal of SeCl relaxed with PBEsol. Source: Alexandria via LeMat-Bulk, functional SCAN.

The uncorrected formation energy is 0.124 eV per atom. As for the density of states at the Fermi level: 2.09 states/eV per cell.

a = 4.1984 Å, b = 4.1984 Å, c = 7.3470 Å
α = 90.00°, β = 90.00°, γ = 125.95°
Last column: nearest neighbours and their distance in Å.
Fractional coordinates of all 4 atoms:
Se: 0.2500 0.7500 0.8926  2 Se 2.48, 2 Cl 2.60
Se: 0.7500 0.2500 0.1074  2 Se 2.48, 2 Cl 2.60
Cl: 0.2500 0.7500 0.3479  2 Se 2.60
Cl: 0.7500 0.2500 0.6521  2 Se 2.60

***

(3)
A crystal of SeCl relaxed with PBEsol. Source: Alexandria via LeMat-Bulk, functional SCAN.

The uncorrected formation energy is -0.228 eV per atom. As for the density of states at the Fermi level: 0.00 states/eV per cell.

a = 7.1778 Å, b = 13.7552 Å, c = 4.8030 Å
α = 90.00°, β = 92.97°, γ = 90.00°
Last column: nearest neighbours and their distance in Å.
Fractional coordinates of all 16 atoms:
Se: 0.1254 0.1333 0.3967  1 Se 2.24, 1 Cl 2.28
Se: 0.1254 0.3667 0.8967  1 Se 2.24, 1 Cl 2.28
Se: 0.2897 0.0338 0.6839  1 Se 2.24, 1 Cl 2.29
Se: 0.2897 0.4662 0.1839  1 Se 2.24, 1 Cl 2.29
Se: 0.7103 0.5338 0.8161  1 Se 2.24, 1 Cl 2.29
Se: 0.7103 0.9662 0.3161  1 Se 2.24, 1 Cl 2.29
Se: 0.8746 0.6333 0.1033  1 Se 2.24, 1 Cl 2.28
Se: 0.8746 0.8667 0.6033  1 Se 2.24, 1 Cl 2.28
Cl: 0.1580 0.6442 0.9101  1 Se 2.28
Cl: 0.1580 0.8558 0.4101  1 Se 2.28
Cl: 0.4349 0.1362 0.0028  1 Se 2.29
Cl: 0.4349 0.3638 0.5028  1 Se 2.29
Cl: 0.5651 0.6362 0.4972  1 Se 2.29
Cl: 0.5651 0.8638 0.9972  1 Se 2.29
Cl: 0.8420 0.1442 0.5899  1 Se 2.28
Cl: 0.8420 0.3558 0.0899  1 Se 2.28

***

(4)
A crystal of SeCl relaxed with PBEsol. Source: Alexandria via LeMat-Bulk, functional SCAN.

The uncorrected formation energy is 0.131 eV per atom. As for the density of states at the Fermi level: 2.20 states/eV per cell.

a = 3.3313 Å, b = 3.3313 Å, c = 9.3130 Å
α = 90.00°, β = 90.00°, γ = 120.00°
Last column: nearest neighbours and their distance in Å.
Fractional coordinates of all 4 atoms:
Se: 0.3333 0.6667 0.0000  1 Cl 2.16
Se: 0.6667 0.3333 0.5000  1 Cl 2.16
Cl: 0.3333 0.6667 0.2323  1 Se 2.16
Cl: 0.6667 0.3333 0.7323  1 Se 2.16

***

(5)
A crystal of SiSe2Cl relaxed with PBEsol. Source: Alexandria via LeMat-Bulk, functional SCAN.

The uncorrected formation energy is 0.758 eV per atom. As for the density of states at the Fermi level: 2.55 states/eV per cell.

a = 4.7252 Å, b = 4.7252 Å, c = 3.3214 Å
α = 90.00°, β = 90.00°, γ = 90.00°
Last column: nearest neighbours and their distance in Å.
Fractional coordinates of all 4 atoms:
Si: 0.0000 0.0000 0.0000  8 Se 2.89
Se: 0.0000 0.5000 0.5000  4 Cl 2.89, 4 Si 2.89
Se: 0.5000 0.0000 0.5000  4 Cl 2.89, 4 Si 2.89
Cl: 0.5000 0.5000 0.0000  8 Se 2.89

***

(6)
A crystal of Si4SeCl relaxed with PBEsol. Source: Alexandria via LeMat-Bulk, functional SCAN.

The uncorrected formation energy is 0.756 eV per atom. As for the density of states at the Fermi level: 3.93 states/eV per cell.

a = 5.2332 Å, b = 5.2332 Å, c = 5.2332 Å
α = 60.00°, β = 60.00°, γ = 60.00°
Last column: nearest neighbours and their distance in Å.
Fractional coordinates of all 6 atoms:
Si: 0.1243 0.1243 0.1243  6 Si 2.60-2.63
Si: 0.1243 0.1243 0.6270  6 Si 2.60-2.63
Si: 0.1243 0.6270 0.1243  6 Si 2.60-2.63
Si: 0.6270 0.1243 0.1243  6 Si 2.60-2.63
Se: 0.5000 0.5000 0.5000  12 Si 3.07, 4 Cl 3.20
Cl: 0.7500 0.7500 0.7500  12 Si 3.07, 4 Se 3.20

***

(7)
A crystal of Si2SeCl relaxed with PBEsol. Source: Alexandria via LeMat-Bulk, functional SCAN.

The uncorrected formation energy is 0.470 eV per atom. As for the density of states at the Fermi level: 1.00 states/eV per cell.

a = 3.3026 Å, b = 3.3026 Å, c = 6.8075 Å
α = 90.00°, β = 90.00°, γ = 90.00°
Last column: nearest neighbours and their distance in Å.
Fractional coordinates of all 4 atoms:
Si: 0.0000 0.0000 0.2230  4 Se 2.79, 4 Cl 3.00, 1 Si 3.04
Si: 0.0000 0.0000 0.7770  4 Se 2.79, 4 Cl 3.00, 1 Si 3.04
Se: 0.5000 0.5000 0.0000  8 Si 2.79
Cl: 0.5000 0.5000 0.5000  8 Si 3.00, 4 Cl 3.30

***

(8)
A crystal of Si2SeCl relaxed with PBEsol. Source: Alexandria via LeMat-Bulk, functional SCAN.

The uncorrected formation energy is -0.157 eV per atom. As for the density of states at the Fermi level: 0.18 states/eV per cell.

a = 4.7305 Å, b = 6.1445 Å, c = 6.1445 Å
α = 32.92°, β = 90.00°, γ = 90.00°
Last column: nearest neighbours and their distance in Å.
Fractional coordinates of all 4 atoms:
Si: 0.0000 0.0000 0.0000  2 Se 2.33, 2 Si 2.40
Si: 0.5000 0.0348 0.0348  2 Cl 2.33, 2 Si 2.40
Se: 0.0000 0.3685 0.3685  2 Si 2.33
Cl: 0.5000 0.6658 0.6658  2 Si 2.33

***

(9)
A crystal of SiSe2Cl relaxed with PBEsol. Source: Alexandria via LeMat-Bulk, functional SCAN.

The uncorrected formation energy is 0.422 eV per atom. As for the density of states at the Fermi level: 3.20 states/eV per cell.

a = 8.7802 Å, b = 8.7802 Å, c = 8.7802 Å
α = 24.65°, β = 24.65°, γ = 24.65°
Last column: nearest neighbours and their distance in Å.
Fractional coordinates of all 4 atoms:
Si: 0.0000 0.0000 0.0000  2 Se 2.12
Se: 0.0831 0.0831 0.0831  1 Si 2.12
Se: 0.9169 0.9169 0.9169  1 Si 2.12
Cl: 0.5000 0.5000 0.5000  6 Se 3.04

***

(10)
A crystal of Si2SeCl relaxed with PBEsol. Source: Alexandria via LeMat-Bulk, functional SCAN.

The uncorrected formation energy is 0.132 eV per atom. As for the density of states at the Fermi level: 1.32 states/eV per cell.

a = 3.5338 Å, b = 3.5338 Å, c = 8.2522 Å
α = 90.00°, β = 90.00°, γ = 121.78°
Last column: nearest neighbours and their distance in Å.
Fractional coordinates of all 4 atoms:
Si: 0.0000 0.0000 0.0000  2 Se 2.33, 2 Si 2.45
Si: 0.5000 0.5000 0.2108  2 Cl 2.41, 2 Si 2.45
Se: 0.5000 0.5000 0.8086  2 Si 2.33
Cl: 0.0000 0.0000 0.4160  2 Si 2.41

***

(11)
A crystal of SnSe2Cl relaxed with PBEsol. Source: Alexandria via LeMat-Bulk, functional SCAN.

The uncorrected formation energy is -0.017 eV per atom. As for the density of states at the Fermi level: 10.04 states/eV per cell.

a = 6.5463 Å, b = 6.5463 Å, c = 6.5463 Å
α = 112.57°, β = 112.57°, γ = 103.44°
Last column: nearest neighbours and their distance in Å.
Fractional coordinates of all 8 atoms:
Sn: 0.0000 0.0000 0.0000  4 Se 2.60
Sn: 0.7500 0.2500 0.5000  4 Se 2.60
Se: 0.0901 0.6250 0.9651  2 Sn 2.60
Se: 0.3750 0.3401 0.4651  2 Sn 2.60
Se: 0.6599 0.1250 0.0349  2 Sn 2.60
Se: 0.8750 0.9099 0.5349  2 Sn 2.60
Cl: 0.2500 0.7500 0.5000  4 Se 2.94
Cl: 0.5000 0.5000 0.0000  4 Se 2.94

***

(12)
A crystal of Sn3SeCl relaxed with PBEsol. Source: Alexandria via LeMat-Bulk, functional SCAN.

The uncorrected formation energy is 0.380 eV per atom. As for the density of states at the Fermi level: 4.02 states/eV per cell.

a = 5.5337 Å, b = 5.5337 Å, c = 5.5337 Å
α = 90.00°, β = 90.00°, γ = 90.00°
Last column: nearest neighbours and their distance in Å.
Fractional coordinates of all 5 atoms:
Sn: 0.0000 0.0000 0.5000  2 Se 2.77
Sn: 0.0000 0.5000 0.0000  2 Se 2.77
Sn: 0.5000 0.0000 0.0000  2 Se 2.77
Se: 0.0000 0.0000 0.0000  6 Sn 2.77
Cl: 0.5000 0.5000 0.5000  12 Sn 3.91

***

(13)
A crystal of TaSeCl2 relaxed with PBEsol. Source: Alexandria via LeMat-Bulk, functional SCAN.

The uncorrected formation energy is -0.559 eV per atom. As for the density of states at the Fermi level: 2.68 states/eV per cell.

a = 8.2779 Å, b = 8.2779 Å, c = 8.2779 Å
α = 23.19°, β = 23.19°, γ = 23.19°
Last column: nearest neighbours and their distance in Å.
Fractional coordinates of all 4 atoms:
Ta: 0.0000 0.0000 0.0000  3 Cl 2.53, 3 Se 2.57
Se: 0.2627 0.2627 0.2627  3 Ta 2.57
Cl: 0.5072 0.5072 0.5072  3 Se 2.88, 3 Cl 3.20
Cl: 0.7347 0.7347 0.7347  3 Ta 2.53

***

| no. | total energy (eV per atom) |
| --- | --- |
| 1 | -10.7901 |
| 2 | -13.9043 |
| 3 | -14.2558 |
| 4 | -13.8973 |
| 5 | -13.7801 |
| 6 | -10.5977 |
| 7 | -11.5521 |
| 8 | -12.1789 |
| 9 | -14.1152 |
| 10 | -11.8898 |
| 11 | -21.0312 |
| 12 | -26.7836 |
| 13 | -26.2137 |